Computed, not measured: a relaxed Sm3Ti4CoO14 crystal at the GGA+U level of DFT.

Computed properties:
Fermi-level density of states: 25.97 states/eV per cell
Uncorrected energy: -8.3824 eV/atom

Cell: 7.3089 7.3089 17.2950 Å, 90.00 90.00 120.00°
With the nearest neighbours (Å) after each atom.
Space group R-3m (No. 166, hexagonal axes)
Asymmetric unit:
Sm: 0.0000 0.5000 0.0000 x9  8 O 2.31-2.51
Ti: 0.0000 0.0000 0.0000 x3  6 O 1.98
Ti: 0.0000 0.5000 0.5000 x9  6 O 1.96-1.97
Co: 0.0000 0.0000 0.5000 x3  2 O 1.93
O: 0.0000 0.0000 0.3882 x6  1 Co 1.93
O: 0.0600 0.5300 0.6111 x18  2 Ti 1.96-1.98
O: 0.0733 0.5367 0.8583 x18  2 Ti 1.97